! GGA+U VFe3O4, relaxed; values from VASP
&SYSTEM
  ibrav = 0, nat = 16, ntyp = 3
/
ATOMIC_SPECIES
V 50.94 V.upf
Fe 55.84 Fe.upf
O 16.00 O.upf
CELL_PARAMETERS angstrom
5.365 0.000 0.000
0.000 6.303 0.000
-1.834 0.000 5.054
ATOMIC_POSITIONS angstrom
V -0.458 0.809 1.264
V -1.375 5.494 3.791
Fe -1.375 2.381 3.791
Fe -0.458 3.921 1.264
Fe 1.307 0.820 3.791
Fe 2.224 2.386 1.264
Fe 1.307 3.916 3.791
Fe 2.224 5.483 1.264
O 0.429 2.382 2.511
O -0.488 3.920 5.038
O -0.462 0.801 5.020
O 0.455 5.501 2.493
O 3.076 0.801 2.561
O 3.993 5.501 0.034
O 4.019 2.382 0.016
O 3.103 3.920 2.543
! Magnetization (μB/f.u.): 15.0
! Volume (A^3/atom): 10.68
! DFT total energy (eV/f.u.): -55.52